# CdIrW2 | Alexandria via LeMat-Bulk | PBEsol | optimized geometry
data_CdIrW2
_cell_length_a 2.7522
_cell_length_b 5.0125
_cell_length_c 5.0125
_cell_angle_alpha 114.60
_cell_angle_beta 90.00
_cell_angle_gamma 90.00
_symmetry_space_group_name_H-M 'P 1'
_symmetry_Int_Tables_number 1
loop_
_symmetry_equiv_pos_as_xyz
'x,y,z'
loop_
_atom_site_label
_atom_site_fract_x
_atom_site_fract_y
_atom_site_fract_z
Cd1 0.5000 0.0000 0.0000
W1 0.0000 0.5000 0.0000
W2 0.0000 0.0000 0.5000
Ir1 0.5000 0.5000 0.5000
# Energy relative to the elements (eV/atom): 0.37